No. 1
A plane-wave DFT calculation with GGA-PBE was carried out for a relaxed structure of CdSn2Pb2.

Summary:
Offset from the most stable computed form (eV per formula unit): 0.00

Unit cell a=7.2106 b=7.2106 c=11.2174 alpha=90.00 beta=90.00 gamma=90.00
Closest atoms and distances in Å follow each position.
Fractional positions:
Pb  0.6323  0.8032  0.5000  2 Cd 3.36, 3 Pb 3.37-3.42, 4 Sn 3.38-3.49
Pb  0.8032  0.3677  0.5000  2 Cd 3.36, 3 Pb 3.37-3.42, 4 Sn 3.38-3.49
Pb  0.1968  0.6323  0.5000  2 Cd 3.36, 3 Pb 3.37-3.42, 4 Sn 3.38-3.49
Pb  0.3032  0.1323  0.0000  2 Cd 3.36, 3 Pb 3.37-3.42, 4 Sn 3.38-3.49
Cd  0.5000  0.5000  0.8658  1 Cd 3.01, 4 Sn 3.03, 4 Pb 3.36
Sn  0.6527  0.1527  0.2500  2 Cd 3.03, 1 Sn 3.11, 2 Pb 3.38
Pb  0.8677  0.3032  0.0000  2 Cd 3.36, 3 Pb 3.37-3.42, 4 Sn 3.38-3.49
Cd  0.5000  0.5000  0.1342  1 Cd 3.01, 4 Sn 3.03, 4 Pb 3.36
Cd  0.0000  0.0000  0.3658  1 Cd 3.01, 4 Sn 3.03, 4 Pb 3.36
Sn  0.8473  0.6527  0.2500  2 Cd 3.03, 1 Sn 3.11, 2 Pb 3.38
Pb  0.1323  0.6968  0.0000  2 Cd 3.36, 3 Pb 3.37-3.42, 4 Sn 3.38-3.49
Sn  0.1527  0.3473  0.2500  2 Cd 3.03, 1 Sn 3.11, 2 Pb 3.38
Cd  0.0000  0.0000  0.6342  1 Cd 3.01, 4 Sn 3.03, 4 Pb 3.36
Pb  0.6968  0.8677  0.0000  2 Cd 3.36, 3 Pb 3.37-3.42, 4 Sn 3.38-3.49
Sn  0.6527  0.1527  0.7500  2 Cd 3.03, 1 Sn 3.11, 2 Pb 3.38
Sn  0.3473  0.8473  0.2500  2 Cd 3.03, 1 Sn 3.11, 2 Pb 3.38
Sn  0.8473  0.6527  0.7500  2 Cd 3.03, 1 Sn 3.11, 2 Pb 3.38
Sn  0.1527  0.3473  0.7500  2 Cd 3.03, 1 Sn 3.11, 2 Pb 3.38
Pb  0.3677  0.1968  0.5000  2 Cd 3.36, 3 Pb 3.37-3.42, 4 Sn 3.38-3.49
Sn  0.3473  0.8473  0.7500  2 Cd 3.03, 1 Sn 3.11, 2 Pb 3.38


No. 2
A plane-wave DFT calculation with GGA-PBE was carried out for a relaxed structure of CdSn4Pb15.

Unit cell a=5.9930 b=5.9930 c=17.1758 alpha=90.00 beta=90.00 gamma=90.00
Closest atoms and distances in Å follow each position.
Fractional positions:
Sn  0.0000  0.0000  0.1928  1 Cd 3.31, 8 Pb 3.38-3.52, 1 Sn 3.55
Pb  0.5000  0.5000  0.1993  10 Pb 3.42-3.46
Pb  0.5000  0.5000  0.0000  10 Pb 3.42-3.47
Pb  0.0000  0.5000  0.6998  6 Pb 3.41-3.46, 4 Sn 3.45-3.52
Pb  0.5000  0.0000  0.6998  6 Pb 3.41-3.46, 4 Sn 3.45-3.52
Pb  0.5000  0.5000  0.6004  10 Pb 3.44-3.46
Cd  0.0000  0.0000  0.0000  2 Sn 3.31, 8 Pb 3.47
Pb  0.5000  0.5000  0.3996  10 Pb 3.44-3.46
Pb  0.0000  0.5000  0.5000  6 Pb 3.43-3.46, 4 Sn 3.46
Sn  0.0000  0.0000  0.6003  2 Sn 3.45-3.55, 8 Pb 3.45-3.46
Pb  0.0000  0.5000  0.1018  2 Sn 3.38, 6 Pb 3.41-3.50, 2 Cd 3.47
Sn  0.0000  0.0000  0.8072  1 Cd 3.31, 8 Pb 3.38-3.52, 1 Sn 3.55
Pb  0.0000  0.5000  0.8982  2 Sn 3.38, 6 Pb 3.41-3.50, 2 Cd 3.47
Sn  0.0000  0.0000  0.3997  2 Sn 3.45-3.55, 8 Pb 3.45-3.46
Pb  0.5000  0.0000  0.8982  2 Sn 3.38, 6 Pb 3.41-3.50, 2 Cd 3.47
Pb  0.5000  0.0000  0.5000  6 Pb 3.43-3.46, 4 Sn 3.46
Pb  0.5000  0.5000  0.8007  10 Pb 3.42-3.46
Pb  0.5000  0.0000  0.3002  6 Pb 3.41-3.46, 4 Sn 3.45-3.52
Pb  0.5000  0.0000  0.1018  2 Sn 3.38, 6 Pb 3.41-3.50, 2 Cd 3.47
Pb  0.0000  0.5000  0.3002  6 Pb 3.41-3.46, 4 Sn 3.45-3.52


No. 3
A plane-wave DFT calculation with GGA-PBE was carried out for a relaxed structure of Cd12SnPb16.

Unit cell a=10.1493 b=10.1493 c=10.2211 alpha=109.74 beta=109.74 gamma=108.27
Closest atoms and distances in Å follow each position.
Fractional positions:
Cd  0.0028  0.1907  0.3677  3 Cd 3.04-3.09, 4 Pb 3.30-3.39
Pb  0.4111  0.9973  0.6861  5 Cd 3.29-3.37, 7 Pb 3.40-3.67
Pb  0.4144  0.6765  0.0030  5 Cd 3.28-3.44, 6 Pb 3.38-3.66, 1 Sn 3.48
Pb  0.2993  0.2993  0.7134  5 Cd 3.30-3.44, 7 Pb 3.41-3.55
Pb  0.9864  0.9864  0.6546  4 Pb 3.37-3.46, 6 Cd 3.38-3.52, 1 Sn 3.65
Cd  0.1729  0.3611  0.9868  3 Cd 3.09-3.11, 5 Pb 3.27-3.40
Pb  0.3211  0.7097  0.3113  5 Cd 3.28-3.57, 6 Pb 3.39-3.58, 1 Sn 3.45
Pb  0.0094  0.6873  0.4069  4 Cd 3.22-3.46, 5 Pb 3.37-3.58, 1 Sn 3.47
Pb  0.6873  0.0094  0.4069  4 Cd 3.22-3.46, 5 Pb 3.37-3.58, 1 Sn 3.47
Cd  0.1898  0.8041  0.8098  3 Cd 3.07-3.09, 4 Pb 3.26-3.37
Pb  0.2859  0.5801  0.5881  5 Cd 3.26-3.55, 6 Pb 3.39-3.65
Pb  0.6765  0.4144  0.0030  5 Cd 3.28-3.44, 6 Pb 3.38-3.66, 1 Sn 3.48
Pb  0.7097  0.3211  0.3113  5 Cd 3.28-3.57, 6 Pb 3.39-3.58, 1 Sn 3.45
Cd  0.8041  0.1898  0.8098  3 Cd 3.07-3.09, 4 Pb 3.26-3.37
Cd  0.3611  0.1729  0.9868  3 Cd 3.09-3.11, 5 Pb 3.27-3.40
Pb  0.3509  0.3509  0.3137  4 Cd 3.27-3.52, 1 Sn 3.27, 3 Pb 3.39-3.49
Pb  0.6579  0.9989  0.0104  4 Pb 3.38-3.50, 6 Cd 3.41-3.62
Cd  0.6347  0.8225  0.6437  3 Cd 3.08-3.09, 1 Sn 3.25, 4 Pb 3.28-3.38
Cd  0.9895  0.3643  0.1768  3 Cd 3.04-3.11, 2 Pb 3.22-3.36
Cd  0.6332  0.6332  0.8257  3 Cd 3.09, 7 Pb 3.28-3.44
Cd  0.8225  0.6347  0.6437  3 Cd 3.08-3.09, 1 Sn 3.25, 4 Pb 3.28-3.38
Pb  0.9973  0.4111  0.6861  5 Cd 3.29-3.37, 7 Pb 3.40-3.67
Cd  0.1907  0.0028  0.3677  3 Cd 3.04-3.09, 4 Pb 3.30-3.39
Sn  0.6258  0.6258  0.3131  3 Cd 3.18-3.25, 7 Pb 3.27-3.48
Cd  0.8217  0.8217  0.1957  3 Cd 3.09, 1 Sn 3.18, 6 Pb 3.32-3.44
Pb  0.0007  0.0007  0.0029  4 Pb 3.46-3.50, 12 Cd 3.56-3.72
Cd  0.3643  0.9895  0.1768  3 Cd 3.04-3.11, 2 Pb 3.22-3.36
Pb  0.9989  0.6579  0.0104  4 Pb 3.38-3.50, 6 Cd 3.41-3.62
Pb  0.5801  0.2859  0.5881  5 Cd 3.26-3.55, 6 Pb 3.39-3.65


No. 4
A plane-wave DFT calculation with GGA-PBE was carried out for a relaxed structure of CdSn2Pb7.

Unit cell a=3.3561 b=11.1884 c=11.1885 alpha=127.11 beta=90.00 gamma=90.00
Closest atoms and distances in Å follow each position.
Fractional positions:
Sn  0.5000  0.6635  0.3365  5 Pb 3.17-3.28, 2 Sn 3.36
Pb  0.5000  0.8826  0.6921  1 Sn 3.17, 2 Cd 3.31, 5 Pb 3.36-3.44
Pb  0.0000  0.8015  0.1985  2 Sn 3.23, 6 Pb 3.36-3.40
Pb  0.5000  0.5000  0.5000  2 Sn 3.28, 6 Pb 3.36-3.44
Pb  0.5000  0.1174  0.3079  1 Sn 3.17, 2 Cd 3.31, 5 Pb 3.36-3.44
Pb  0.5000  0.6921  0.8826  1 Sn 3.17, 2 Cd 3.31, 5 Pb 3.36-3.44
Cd  0.0000  0.0000  0.0000  8 Pb 3.31, 2 Cd 3.36
Pb  0.5000  0.3079  0.1174  1 Sn 3.17, 2 Cd 3.31, 5 Pb 3.36-3.44
Sn  0.5000  0.3365  0.6635  5 Pb 3.17-3.28, 2 Sn 3.36
Pb  0.0000  0.1985  0.8015  2 Sn 3.23, 6 Pb 3.36-3.40


No. 5
A plane-wave DFT calculation with GGA-PBE was carried out for a relaxed structure of CdSn2Pb2.

Summary:
Offset from the most stable computed form (eV per formula unit): 0.36

Unit cell a=9.3207 b=9.3207 c=3.5581 alpha=90.00 beta=90.00 gamma=90.00
Closest atoms and distances in Å follow each position.
Fractional positions:
Pb  0.6523  0.1523  0.0000  6 Sn 3.22-3.28, 2 Cd 3.54, 2 Pb 3.56
Sn  0.6438  0.8562  0.5000  6 Pb 3.22-3.28, 2 Sn 3.56
Cd  0.0000  0.0000  0.0000  4 Pb 3.54, 2 Cd 3.56
Sn  0.8562  0.3562  0.5000  6 Pb 3.22-3.28, 2 Sn 3.56
Pb  0.3477  0.8477  0.0000  6 Sn 3.22-3.28, 2 Cd 3.54, 2 Pb 3.56
Pb  0.8477  0.6523  0.0000  6 Sn 3.22-3.28, 2 Cd 3.54, 2 Pb 3.56
Cd  0.5000  0.5000  0.0000  4 Pb 3.54, 2 Cd 3.56
Sn  0.1438  0.6438  0.5000  6 Pb 3.22-3.28, 2 Sn 3.56
Sn  0.3562  0.1438  0.5000  6 Pb 3.22-3.28, 2 Sn 3.56
Pb  0.1523  0.3477  0.0000  6 Sn 3.22-3.28, 2 Cd 3.54, 2 Pb 3.56


No. 6
A plane-wave DFT calculation with GGA-PBE was carried out for a relaxed structure of Cd3Sn2Pb2.

Summary:
Offset from the most stable computed form (eV per formula unit): 0.00

Unit cell a=3.3425 b=5.7693 c=10.3302 alpha=97.13 beta=90.00 gamma=106.84
Closest atoms and distances in Å follow each position.
Fractional positions:
Cd  0.2861  0.5722  0.1248  7 Cd 3.09-3.34, 3 Sn 3.26-3.38, 2 Pb 3.41
Cd  0.0000  0.0000  0.0000  4 Sn 3.19, 8 Cd 3.25-3.34
Cd  0.7139  0.4278  0.8752  7 Cd 3.09-3.34, 3 Sn 3.26-3.38, 2 Pb 3.41
Sn  0.4306  0.8612  0.7379  5 Cd 3.19-3.38, 3 Pb 3.33-3.43, 2 Sn 3.34
Sn  0.5694  0.1388  0.2621  5 Cd 3.19-3.38, 3 Pb 3.33-3.43, 2 Sn 3.34
Pb  0.8551  0.7101  0.4130  3 Sn 3.33-3.43, 5 Pb 3.34-3.53, 2 Cd 3.41
Pb  0.1449  0.2899  0.5870  3 Sn 3.33-3.43, 5 Pb 3.34-3.53, 2 Cd 3.41


No. 7
A plane-wave DFT calculation with GGA-PBE was carried out for a relaxed structure of CdSn2Pb.

Summary:
Offset from the most stable computed form (eV per formula unit): 0.86

Unit cell a=6.7600 b=6.7600 c=8.1522 alpha=65.51 beta=65.51 gamma=90.00
Closest atoms and distances in Å follow each position.
Fractional positions:
Pb  0.7500  0.2500  0.5000  4 Sn 2.96
Sn  0.1383  0.6250  0.2500  2 Cd 2.85, 2 Pb 2.96
Sn  0.6117  0.1250  0.2500  2 Cd 2.85, 2 Pb 2.96
Cd  0.2500  0.7500  0.5000  4 Sn 2.85
Cd  0.5000  0.5000  0.0000  4 Sn 2.85
Pb  0.0000  0.0000  0.0000  4 Sn 2.96
Sn  0.8750  0.8617  0.7500  2 Cd 2.85, 2 Pb 2.96
Sn  0.3750  0.3883  0.7500  2 Cd 2.85, 2 Pb 2.96


No. 8
A plane-wave DFT calculation with GGA-PBE was carried out for a relaxed structure of CdSn2Pb.

Summary:
Offset from the most stable computed form (eV per formula unit): 0.04

Unit cell a=3.9867 b=3.9867 c=6.9659 alpha=90.00 beta=90.00 gamma=90.00
Closest atoms and distances in Å follow each position.
Fractional positions:
Cd  0.5000  0.5000  0.0000  8 Sn 3.23, 2 Pb 3.48
Pb  0.5000  0.5000  0.5000  8 Sn 3.40, 2 Cd 3.48
Sn  0.0000  0.0000  0.7725  1 Sn 3.17, 4 Cd 3.23, 4 Pb 3.40
Sn  0.0000  0.0000  0.2275  1 Sn 3.17, 4 Cd 3.23, 4 Pb 3.40


No. 9
A plane-wave DFT calculation with GGA-PBE was carried out for a relaxed structure of CdSn2Pb9.

Unit cell a=6.0046 b=6.0046 c=10.2377 alpha=90.00 beta=90.00 gamma=90.00
Closest atoms and distances in Å follow each position.
Fractional positions:
Pb  0.5000  0.0000  0.1670  6 Pb 3.41-3.46, 2 Sn 3.43, 2 Cd 3.46
Sn  0.0000  0.0000  0.6719  1 Cd 3.36, 8 Pb 3.43-3.48, 1 Sn 3.52
Pb  0.5000  0.0000  0.5000  6 Pb 3.41-3.45, 4 Sn 3.48
Pb  0.5000  0.5000  0.0000  10 Pb 3.42-3.46
Pb  0.5000  0.5000  0.3342  10 Pb 3.39-3.46
Pb  0.0000  0.5000  0.1670  6 Pb 3.41-3.46, 2 Sn 3.43, 2 Cd 3.46
Cd  0.0000  0.0000  0.0000  2 Sn 3.36, 8 Pb 3.46
Pb  0.5000  0.5000  0.6658  10 Pb 3.39-3.46
Pb  0.0000  0.5000  0.5000  6 Pb 3.41-3.45, 4 Sn 3.48
Pb  0.0000  0.5000  0.8330  6 Pb 3.41-3.46, 2 Sn 3.43, 2 Cd 3.46
Pb  0.5000  0.0000  0.8330  6 Pb 3.41-3.46, 2 Sn 3.43, 2 Cd 3.46
Sn  0.0000  0.0000  0.3281  1 Cd 3.36, 8 Pb 3.43-3.48, 1 Sn 3.52


No. 10
A plane-wave DFT calculation with GGA-PBE was carried out for a relaxed structure of Cd6Sn2Pb.

Unit cell a=3.2405 b=10.2260 c=9.9256 alpha=121.01 beta=118.30 gamma=90.00
Closest atoms and distances in Å follow each position.
Fractional positions:
Cd  0.5291  0.6257  0.6842  6 Cd 3.05-3.24, 3 Sn 3.06-3.38, 1 Pb 3.15
Cd  0.5000  0.6523  0.0000  7 Cd 3.05-3.24, 2 Sn 3.15
Cd  0.4709  0.9416  0.3158  6 Cd 3.05-3.24, 3 Sn 3.06-3.38, 1 Pb 3.15
Cd  0.4709  0.3743  0.3158  6 Cd 3.05-3.24, 3 Sn 3.06-3.38, 1 Pb 3.15
Sn  0.0826  0.6928  0.3856  8 Cd 3.06-3.38, 2 Sn 3.24
Pb  0.0000  0.0000  0.0000  4 Cd 3.15, 2 Pb 3.24
Sn  0.9174  0.3072  0.6144  8 Cd 3.06-3.38, 2 Sn 3.24
Cd  0.5291  0.0584  0.6842  6 Cd 3.05-3.24, 3 Sn 3.06-3.38, 1 Pb 3.15
Cd  0.5000  0.3477  0.0000  7 Cd 3.05-3.24, 2 Sn 3.15


Respective ΔH_f (0 K) values: 0.067; 0.058; 0.036; 0.127; 0.139; 0.046; 0.268; 0.063; 0.063; 0.067 eV per atom.